AlPW | PBEsol | optimized geometry

```
AlPW
1.0
4.1414 0.0000 0.0000
2.0707 3.5866 0.0000
2.0707 1.1955 3.3815
P Al W
1 1 1
direct
0.5000 0.5000 0.5000
0.0000 0.0000 0.0000
0.7500 0.7500 0.7500
```

Total magnetic moment = 0.0 Bohr magnetons per cell
Space group = No. 216
Density of states at the Fermi level = 1.514 states/eV/cell
V = 50.2 Å³/cell
Raw total energy = -0.5402 Ry/atom